Run a
# Cd3Sb

A relaxed structure of Cd3Sb (PBE-GGA, Alexandria).

Unit cell a=4.4448 b=4.4448 c=5.0563 alpha=90.00 beta=90.00 gamma=90.00
Fractional coordinates of all 4 atoms:
Cd 0.0000 0.0000 0.0000
Cd 0.0000 0.5000 0.5723
Cd 0.5000 0.0000 0.5723
Sb 0.5000 0.5000 0.1478

## Properties
space-group type	P4mm
mass density	7.63	g/cm³

Run b
# Cd3Sb

A relaxed structure of Cd3Sb (PBE-GGA, Alexandria).

Unit cell a=6.0279 b=6.0279 c=6.0279 alpha=90.00 beta=90.00 gamma=90.00
Fractional coordinates of all 4 atoms:
Cd 0.0000 0.0000 0.5000
Cd 0.0000 0.5000 0.0000
Cd 0.5000 0.0000 0.0000
Sb 0.0000 0.0000 0.0000

## Properties
space-group type	Pm-3m
mass density	3.48	g/cm³

Run c
# Cd3Sb

A relaxed structure of Cd3Sb (PBE-GGA, Alexandria).

Unit cell a=3.2210 b=3.2210 c=9.4130 alpha=90.00 beta=90.00 gamma=90.12
Fractional coordinates of all 4 atoms:
Cd 0.0000 0.0000 0.0000
Cd 0.5000 0.5000 0.2329
Cd 0.5000 0.5000 0.7671
Sb 0.0000 0.0000 0.5000

## Properties
space-group type	Cmmm
mass density	7.80	g/cm³

Which of them is most stable? Easy: run a.

Run a
# Cd3Sb

A relaxed structure of Cd3Sb (PBE-GGA, Alexandria).

Unit cell a=5.8773 b=5.8773 c=5.8773 alpha=90.00 beta=90.00 gamma=90.00
Fractional coordinates of all 8 atoms:
Cd 0.0000 0.2500 0.5000
Cd 0.0000 0.7500 0.5000
Cd 0.2500 0.5000 0.0000
Cd 0.5000 0.0000 0.2500
Cd 0.5000 0.0000 0.7500
Cd 0.7500 0.5000 0.0000
Sb 0.0000 0.0000 0.0000
Sb 0.5000 0.5000 0.5000

## Properties
space-group type	Pm-3n
mass density	7.51	g/cm³

Run b
# Cd3Sb

A relaxed structure of Cd3Sb (PBE-GGA, Alexandria).

Unit cell a=5.2240 b=5.2240 c=5.2240 alpha=60.00 beta=60.00 gamma=60.00
Fractional coordinates of all 4 atoms:
Cd 0.0000 0.0000 0.0000
Cd 0.2500 0.2500 0.2500
Cd 0.7500 0.7500 0.7500
Sb 0.5000 0.5000 0.5000

## Properties
space-group type	Fm-3m
mass density	7.56	g/cm³

Run c
# Cd3Sb

A relaxed structure of Cd3Sb (PBE-GGA, Alexandria).

Unit cell a=6.4079 b=6.4079 c=11.0339 alpha=90.00 beta=90.00 gamma=120.00
Fractional coordinates of all 16 atoms:
Cd 0.0000 0.5000 0.0000
Cd 0.0000 0.5000 0.5000
Cd 0.1686 0.3372 0.2500
Cd 0.1686 0.8314 0.2500
Cd 0.3372 0.1686 0.7500
Cd 0.5000 0.0000 0.0000
Cd 0.5000 0.0000 0.5000
Cd 0.5000 0.5000 0.0000
Cd 0.5000 0.5000 0.5000
Cd 0.6628 0.8314 0.2500
Cd 0.8314 0.1686 0.7500
Cd 0.8314 0.6628 0.7500
Sb 0.0000 0.0000 0.0000
Sb 0.0000 0.0000 0.5000
Sb 0.3333 0.6667 0.7500
Sb 0.6667 0.3333 0.2500

## Properties
space-group type	P6_3/mmc
mass density	7.77	g/cm³

Which of them is most stable? Easy: run a.

Run a
# Cd3Sb

A relaxed structure of Cd3Sb (PBE-GGA, Alexandria).

Unit cell a=7.7663 b=7.7663 c=4.7394 alpha=90.00 beta=90.00 gamma=133.18
Fractional coordinates of all 8 atoms:
Cd 0.1635 0.3051 0.7500
Cd 0.1941 0.8059 0.7500
Cd 0.3051 0.1635 0.2500
Cd 0.6949 0.8365 0.7500
Cd 0.8059 0.1941 0.2500
Cd 0.8365 0.6949 0.2500
Sb 0.3486 0.6514 0.2500
Sb 0.6514 0.3486 0.7500

## Properties
space-group type	Cmcm
mass density	7.31	g/cm³

Run b
# Cd3Sb

A relaxed structure of Cd3Sb (PBE-GGA, Alexandria).

Unit cell a=4.1485 b=4.1485 c=5.8915 alpha=90.00 beta=90.00 gamma=90.00
Fractional coordinates of all 4 atoms:
Cd 0.0000 0.0000 0.0000
Cd 0.5000 0.5000 0.2505
Cd 0.5000 0.5000 0.7495
Sb 0.0000 0.0000 0.5000

## Properties
space-group type	P4/mmm
mass density	7.52	g/cm³

Which of them is most stable? Easy: run a.